VASP calculation (GGA-PBE) on a relaxed structure of Lu3Sb2N.

a = 3.832 Å, b = 3.832 Å, c = 10.437 Å
α = 90.00°, β = 90.00°, γ = 120.00°
Fractional positions:
Lu 0.667 0.333 0.882
Lu 0.000 0.000 0.500
Sb 0.333 0.667 0.687
Sb 0.667 0.333 0.313
N 0.000 0.000 0.000
Lu 0.333 0.667 0.118

As for the calculated density: 9.79 Mg/m³. The calculation puts the total energy at -6.008 eV/atom. As for the space group: No. 164.

=====

VASP calculation (GGA-PBE) on a relaxed structure of Lu3SbN2.

a = 3.446 Å, b = 3.446 Å, c = 9.921 Å
α = 90.00°, β = 90.00°, γ = 120.00°
Fractional positions:
Sb 0.000 0.000 0.500
Lu 0.000 0.000 0.000
N 0.333 0.667 0.141
N 0.667 0.333 0.859
Lu 0.667 0.333 0.260
Lu 0.333 0.667 0.740

As for the calculated density: 10.98 Mg/m³. The calculation puts the total energy at -7.158 eV/atom. For the offset from the most stable computed form, the calculation gives 0.0136 eV per atom. As for the space group: No. 164.

=====

VASP calculation (GGA-PBE) on a relaxed structure of Lu4SbN3.

a = 3.416 Å, b = 3.416 Å, c = 25.280 Å
α = 90.00°, β = 90.00°, γ = 120.00°
Fractional positions:
N 0.000 0.000 0.000
Lu 0.000 0.000 0.156
Lu 0.667 0.333 0.552
N 0.667 0.333 0.390
Lu 0.000 0.000 0.844
Sb 0.333 0.667 0.250
N 0.333 0.667 0.610
Lu 0.333 0.667 0.448
Lu 0.000 0.000 0.344
N 0.667 0.333 0.110
Sb 0.667 0.333 0.750
N 0.333 0.667 0.890
Lu 0.667 0.333 0.948
N 0.000 0.000 0.500
Lu 0.333 0.667 0.052
Lu 0.000 0.000 0.656

As for the calculated density: 11.23 Mg/m³. The calculation puts the total energy at -7.456 eV/atom. As for the space group: No. 194.

=====

VASP calculation (GGA-PBE) on a relaxed structure of Lu3SbN2.

a = 3.436 Å, b = 3.436 Å, c = 19.870 Å
α = 90.00°, β = 90.00°, γ = 120.00°
Fractional positions:
Lu 0.333 0.667 0.630
Lu 0.667 0.333 0.370
Lu 0.333 0.667 0.870
N 0.667 0.333 0.570
Lu 0.000 0.000 0.000
N 0.333 0.667 0.430
Lu 0.667 0.333 0.130
Sb 0.000 0.000 0.750
Lu 0.000 0.000 0.500
Sb 0.000 0.000 0.250
N 0.667 0.333 0.930
N 0.333 0.667 0.070

As for the calculated density: 11.03 Mg/m³. The calculation puts the total energy at -7.171 eV/atom. For the offset from the most stable computed form, the calculation gives 0.0000 eV per atom. As for the space group: No. 194.

=====

VASP calculation (GGA-PBE) on a relaxed structure of Lu4Sc2Sb3N3.

a = 5.956 Å, b = 5.956 Å, c = 14.712 Å
α = 101.71°, β = 101.71°, γ = 59.95°
Fractional positions:
N 0.832 0.334 0.000
Sb 0.096 0.904 0.750
Sc 0.472 0.638 0.917
Lu 0.803 0.972 0.913
Lu 0.304 0.139 0.413
Lu 0.139 0.304 0.913
Lu 0.028 0.197 0.587
Sb 0.267 0.415 0.250
Sc 0.362 0.528 0.583
N 0.500 0.000 0.000
Lu 0.972 0.803 0.413
Lu 0.861 0.696 0.087
Sc 0.528 0.362 0.083
N 0.000 0.500 0.500
N 0.334 0.832 0.500
Sc 0.638 0.472 0.417
Sb 0.585 0.733 0.250
Lu 0.197 0.028 0.087
Sb 0.904 0.096 0.250
N 0.666 0.168 0.500
Sb 0.415 0.267 0.750
N 0.168 0.666 0.000
Sb 0.733 0.585 0.750
Lu 0.696 0.861 0.587

As for the calculated density: 9.05 Mg/m³. The calculation puts the total energy at -6.904 eV/atom. As for the space group: No. 15.

=====

VASP calculation (GGA-PBE) on a relaxed structure of Lu4SiSbN2.

a = 3.439 Å, b = 3.439 Å, c = 14.122 Å
α = 90.00°, β = 90.00°, γ = 120.00°
Fractional positions:
Lu 0.000 0.000 0.168
Sb 0.667 0.333 0.000
N 0.333 0.667 0.256
Lu 0.000 0.000 0.832
N 0.333 0.667 0.744
Lu 0.667 0.333 0.350
Lu 0.667 0.333 0.650
Si 0.000 0.000 0.500

As for the calculated density: 10.08 Mg/m³. The calculation puts the total energy at -6.706 eV/atom. As for the space group: No. 187.

=====

VASP calculation (GGA-PBE) on a relaxed structure of Lu4TlSbN2.

a = 3.461 Å, b = 3.461 Å, c = 14.872 Å
α = 90.00°, β = 90.00°, γ = 120.00°
Fractional positions:
Lu 0.000 0.000 0.331
Tl 0.667 0.333 0.500
Lu 0.667 0.333 0.840
N 0.333 0.667 0.756
Lu 0.000 0.000 0.669
Sb 0.000 0.000 0.000
N 0.333 0.667 0.244
Lu 0.667 0.333 0.160

As for the calculated density: 11.34 Mg/m³. The calculation puts the total energy at -6.286 eV/atom. As for the space group: No. 187.

=====

VASP calculation (GGA-PBE) on a relaxed structure of Lu3Sb3W2N12.

a = 11.023 Å, b = 11.023 Å, c = 11.023 Å
α = 109.47°, β = 109.47°, γ = 109.47°
Fractional positions:
N 0.672 0.086 0.705
Lu 0.750 0.125 0.375
Lu 0.125 0.250 0.375
N 0.586 0.172 0.467
N 0.795 0.414 0.828
N 0.881 0.967 0.795
N 0.881 0.414 0.086
N 0.967 0.672 0.086
Sb 0.125 0.750 0.875
N 0.914 0.381 0.586
Lu 0.250 0.875 0.625
N 0.586 0.914 0.119
N 0.205 0.119 0.033
N 0.295 0.328 0.914
N 0.467 0.381 0.295
Sb 0.750 0.875 0.125
N 0.381 0.586 0.914
N 0.586 0.172 0.205
N 0.086 0.619 0.414
W 0.500 0.000 0.500
W 0.500 0.500 0.000
Lu 0.875 0.750 0.625
N 0.205 0.586 0.172
N 0.414 0.828 0.795
W 0.000 0.500 0.500
N 0.914 0.295 0.328
Lu 0.375 0.125 0.250
N 0.533 0.619 0.705
N 0.705 0.533 0.619
N 0.328 0.914 0.033
Sb 0.250 0.625 0.375
Lu 0.375 0.750 0.125
N 0.328 0.914 0.295
N 0.295 0.467 0.381
Sb 0.625 0.375 0.250
Sb 0.375 0.250 0.625
N 0.619 0.705 0.533
N 0.467 0.586 0.172
W 0.000 0.000 0.000
Lu 0.750 0.625 0.875
Sb 0.375 0.625 0.750
N 0.172 0.467 0.586
Sb 0.250 0.125 0.875
Sb 0.125 0.875 0.250
N 0.828 0.795 0.414
N 0.914 0.119 0.586
N 0.172 0.205 0.586
N 0.033 0.205 0.119
Sb 0.625 0.750 0.375
Lu 0.125 0.375 0.750
Lu 0.625 0.875 0.750
N 0.619 0.414 0.086
N 0.586 0.914 0.381
Lu 0.625 0.250 0.875
N 0.414 0.086 0.619
W 0.500 0.500 0.500
N 0.381 0.295 0.467
N 0.414 0.086 0.881
N 0.705 0.672 0.086
W 0.500 0.000 0.000
Sb 0.875 0.250 0.125
N 0.967 0.795 0.881
Lu 0.875 0.625 0.250
N 0.414 0.828 0.533
N 0.672 0.086 0.967
Lu 0.250 0.375 0.125
N 0.914 0.033 0.328
N 0.086 0.881 0.414
N 0.795 0.881 0.967
Sb 0.875 0.125 0.750
N 0.086 0.967 0.672
N 0.533 0.414 0.828
N 0.033 0.328 0.914
N 0.119 0.586 0.914
W 0.000 0.500 0.000
Sb 0.750 0.375 0.625
N 0.119 0.033 0.205
W 0.000 0.000 0.500
N 0.086 0.705 0.672
N 0.828 0.533 0.414

As for the calculated density: 9.19 Mg/m³. The calculation puts the total energy at -7.927 eV/atom. As for the space group: No. 230.